Entry 1:
An optimized crystal structure of La2MnFeCo. Source: Alexandria, functional PBE-GGA.

The value obtained for the raw total energy is -6.473 eV per atom. The formation energy comes out at 0.45 eV/atom.

The structure belongs to space group P4/mmm (No. 123); the cell edges are 5.279, 5.279 and 4.505 Å and the angles 90.00°, 90.00° and 90.00°. The distinct sites, in fractional coordinates, are La at (0.000, 0.500, 0.000), Mn at (0.000, 0.000, 0.500), Fe at (0.500, 0.500, 0.500) and Co at (0.500, 0.500, 0.000).

=====

Entry 2:
An optimized crystal structure of LaSiGeMo2. Source: Alexandria, functional PBE-GGA.

The value obtained for the formation energy (no corrections) is 2159 meV per atom. The value obtained for the raw total energy is -5.167 eV per atom.

The structure belongs to space group P4/mmm (No. 123); the cell edges are 4.838, 4.838 and 5.308 Å and the angles 90.00°, 90.00° and 90.00°. The distinct sites, in fractional coordinates, are La at (0.000, 0.000, 0.000), Si at (0.000, 0.000, 0.500), Ge at (0.500, 0.500, 0.500) and Mo at (0.000, 0.500, 0.000).

=====

Entry 3:
An optimized crystal structure of AlRe2Cl. Source: Alexandria, functional PBE-GGA.

The value obtained for the formation energy (no corrections) is 649 meV per atom. The value obtained for the raw total energy is -6.973 eV per atom. Its offset from the most stable computed form is 2.87 eV per formula unit.

The structure belongs to space group Pmmm (No. 47); the cell edges are 2.755, 4.660 and 4.862 Å and the angles 90.00°, 90.00° and 90.00°. The distinct sites, in fractional coordinates, are Al at (0.000, 0.000, 0.000), Re at (0.000, 0.500, 0.500), Re at (0.500, 0.500, 0.000) and Cl at (0.500, 0.000, 0.500).

=====

Entry 4:
An optimized crystal structure of Ta7Ni6. Source: Alexandria, functional PBE-GGA.

The value obtained for the raw total energy is -8.623 eV per atom. The formation energy comes out at 0.43 eV/atom.

The structure belongs to space group R-3m (No. 166, hexagonal axes); the cell edges are 5.3259, 5.3259 and 25.8546 Å and the angles 90.00°, 90.00° and 120.00°. The distinct sites, in fractional coordinates, are Ta at (0.0000, 0.0000, 0.0000), Ta at (0.0029, 0.5014, 0.4171), Ni at (0.0000, 0.0000, 0.1674), Ni at (0.0000, 0.0000, 0.3484) and Ni at (0.0000, 0.0000, 0.4557).

=====

Entry 5:
An optimized crystal structure of Na2Hf2SnTe6. Source: Alexandria, functional PBE-GGA.

The value obtained for the formation energy (no corrections) is -767 meV per atom. The value obtained for the raw total energy is -4.894 eV per atom.

The structure belongs to space group C2/m (No. 12); the cell edges are 7.378, 12.951 and 7.916 Å and the angles 90.00°, 107.36° and 90.00°. The distinct sites, in fractional coordinates, are Na at (0.000, 0.155, 0.000), Hf at (0.000, 0.332, 0.500), Sn at (0.000, 0.000, 0.500), Te at (0.208, 0.500, 0.722) and Te at (0.248, 0.179, 0.722).

=====

Entry 6:
An optimized crystal structure of SrHoRh2. Source: Alexandria, functional PBE-GGA.

The value obtained for the raw total energy is -5.677 eV per atom. The formation energy comes out at -0.44 eV/atom. Its offset from the most stable computed form is 0.42 eV per formula unit.

The structure belongs to space group Fm-3m (No. 225); the cell edges are 6.989, 6.989 and 6.989 Å and the angles 90.00°, 90.00° and 90.00°. The distinct sites, in fractional coordinates, are Sr at (0.000, 0.000, 0.000), Ho at (0.000, 0.000, 0.500) and Rh at (0.250, 0.250, 0.250).

=====

Entry 7:
An optimized crystal structure of Zr5Sc2In4. Source: Alexandria, functional PBE-GGA.

The value obtained for the raw total energy is -6.195 eV per atom. The formation energy comes out at -0.16 eV/atom.

The structure belongs to space group P2/m (No. 10); the cell edges are 7.976, 3.102 and 10.087 Å and the angles 90.00°, 94.96° and 90.00°. The distinct sites, in fractional coordinates, are Zr at (0.000, 0.000, 0.000), Zr at (0.049, 0.000, 0.309), Zr at (0.315, 0.000, 0.842), Sc at (0.424, 0.000, 0.361), In at (0.235, 0.500, 0.565) and In at (0.317, 0.500, 0.112).

=====

Entry 8:
An optimized crystal structure of SrInBr3. Source: Alexandria, functional PBE-GGA.

The value obtained for the formation energy (no corrections) is -1529 meV per atom. The value obtained for the raw total energy is -3.417 eV per atom.

The structure belongs to space group C2/m (No. 12); the cell edges are 7.858, 14.338 and 7.882 Å and the angles 90.00°, 104.72° and 90.00°. The distinct sites, in fractional coordinates, are Sr at (0.000, 0.160, 0.000), In at (0.000, 0.358, 0.500), Br at (0.205, 0.000, 0.213) and Br at (0.242, 0.204, 0.757).

=====

Entry 9:
An optimized crystal structure of ErUBi2. Source: Alexandria, functional PBE-GGA.

The value obtained for the raw total energy is -6.225 eV per atom. The formation energy comes out at -0.32 eV/atom. Its offset from the most stable computed form is 0.00 eV per formula unit.

The structure belongs to space group R-3m (No. 166, hexagonal axes); the cell edges are 4.4157, 4.4157 and 22.4159 Å and the angles 90.00°, 90.00° and 120.00°. The distinct sites, in fractional coordinates, are Er at (0.0000, 0.0000, 0.0000), U at (0.0000, 0.0000, 0.5000) and Bi at (0.0000, 0.0000, 0.2519).

=====

Entry 10:
An optimized crystal structure of La3Sm3InHg2. Source: Alexandria, functional PBE-GGA.

The value obtained for the raw total energy is -3.853 eV per atom. The formation energy comes out at -0.27 eV/atom.

The structure belongs to space group P-62m (No. 189); the cell edges are 9.1458, 9.1458 and 3.8674 Å and the angles 90.00°, 90.00° and 120.00°. The distinct sites, in fractional coordinates, are La at (0.0000, 0.7095, 0.0000), Sm at (0.0000, 0.3832, 0.5000), In at (0.0000, 0.0000, 0.5000) and Hg at (0.3333, 0.6667, 0.0000).

=====

Entry 11:
An optimized crystal structure of ZnCuI2N. Source: Alexandria, functional PBE-GGA.

The value obtained for the formation energy (no corrections) is 946 meV per atom. The value obtained for the raw total energy is -2.413 eV per atom. Its offset from the most stable computed form is 1.09 eV per formula unit.

The structure belongs to space group P4/mmm (No. 123); the cell edges are 5.753, 5.753 and 3.693 Å and the angles 90.00°, 90.00° and 90.00°. The distinct sites, in fractional coordinates, are Zn at (0.000, 0.000, 0.000), Cu at (0.500, 0.500, 0.500), I at (0.000, 0.500, 0.000) and N at (0.000, 0.000, 0.500).

=====

Entry 12:
An optimized crystal structure of AcGdHoZn. Source: Alexandria, functional PBE-GGA.

The value obtained for the raw total energy is -5.840 eV per atom. The formation energy comes out at 0.17 eV/atom.

The structure belongs to space group F-43m (No. 216); the cell edges are 7.835, 7.835 and 7.835 Å and the angles 90.00°, 90.00° and 90.00°. The distinct sites, in fractional coordinates, are Ac at (0.000, 0.000, 0.000), Gd at (0.250, 0.250, 0.250), Ho at (0.250, 0.250, 0.750) and Zn at (0.000, 0.000, 0.500).

=====

Entry 13:
An optimized crystal structure of PtS6F2. Source: Alexandria, functional PBE-GGA.

The value obtained for the formation energy (no corrections) is -322 meV per atom. The value obtained for the raw total energy is -4.161 eV per atom.

The structure belongs to space group P-1 (No. 2); the cell edges are 3.806, 5.561 and 10.319 Å and the angles 103.00°, 96.26° and 91.30°. The distinct sites, in fractional coordinates, are Pt at (0.000, 0.000, 0.000), S at (0.019, 0.414, 0.075), S at (0.286, 0.731, 0.457), S at (0.377, 0.160, 0.642) and F at (0.076, 0.002, 0.196).

=====

Entry 14:
An optimized crystal structure of Sc3TlAu. Source: Alexandria, functional PBE-GGA.

The value obtained for the raw total energy is -4.965 eV per atom. The formation energy comes out at -0.04 eV/atom. Its offset from the most stable computed form is 0.00 eV per formula unit.

The structure belongs to space group Pm-3m (No. 221); the cell edges are 5.184, 5.184 and 5.184 Å and the angles 90.00°, 90.00° and 90.00°. The distinct sites, in fractional coordinates, are Sc at (0.000, 0.000, 0.500), Tl at (0.500, 0.500, 0.500) and Au at (0.000, 0.000, 0.000).

=====

Entry 15:
An optimized crystal structure of Tb6Pr3Y2Tm. Source: Alexandria, functional PBE-GGA.

The value obtained for the raw total energy is -4.940 eV per atom. The formation energy comes out at 0.02 eV/atom.

The structure belongs to space group C2/m (No. 12); the cell edges are 6.235, 10.796 and 11.909 Å and the angles 90.00°, 100.02° and 90.00°. The distinct sites, in fractional coordinates, are Tb at (0.248, 0.166, 0.245), Tb at (0.250, 0.000, 0.755), Pr at (0.000, 0.167, 0.500), Pr at (0.000, 0.500, 0.500), Y at (0.000, 0.333, 0.000) and Tm at (0.000, 0.000, 0.000).

=====

Entry 16:
An optimized crystal structure of SbHAu. Source: Alexandria, functional PBE-GGA.

The value obtained for the raw total energy is -3.349 eV per atom. Its offset from the most stable computed form is 0.23 eV per formula unit.

The structure belongs to space group C2/m (No. 12); the cell edges are 8.300, 3.023 and 9.928 Å and the angles 90.00°, 109.76° and 90.00°. The distinct sites, in fractional coordinates, are Sb at (0.118, 0.000, 0.174), H at (0.214, 0.500, 0.895) and Au at (0.169, 0.000, 0.587).

=====

Entry 17:
An optimized crystal structure of PaHg2O4F2. Source: Alexandria, functional PBE-GGA.

The value obtained for the formation energy (no corrections) is -1807 meV per atom. The value obtained for the raw total energy is -5.549 eV per atom.

The structure belongs to space group C2/m (No. 12); the cell edges are 11.567, 4.629 and 5.513 Å and the angles 90.00°, 107.66° and 90.00°. The distinct sites, in fractional coordinates, are Pa at (0.000, 0.000, 0.000), Hg at (0.145, 0.500, 0.535), O at (0.007, 0.500, 0.810), O at (0.171, 0.000, 0.247) and F at (0.104, 0.000, 0.720).

=====

Entry 18:
An optimized crystal structure of IrOs2Pb. Source: Alexandria, functional PBE-GGA.

The value obtained for the raw total energy is -7.913 eV per atom. The formation energy comes out at 0.84 eV/atom.

The structure belongs to space group Imm2 (No. 44); the cell edges are 2.856, 4.347 and 11.658 Å and the angles 90.00°, 90.00° and 90.00°. The distinct sites, in fractional coordinates, are Ir at (0.000, 0.000, 0.000), Os at (0.000, 0.000, 0.435), Os at (0.000, 0.500, 0.756) and Pb at (0.000, 0.500, 0.170).

=====

Entry 19:
An optimized crystal structure of Tl4Ge3Au5. Source: Alexandria, functional PBE-GGA.

The value obtained for the raw total energy is -3.269 eV per atom. The formation energy comes out at 0.04 eV/atom.

The structure belongs to space group C2/m (No. 12); the cell edges are 11.454, 4.959 and 11.546 Å and the angles 90.00°, 114.00° and 90.00°. The distinct sites, in fractional coordinates, are Tl at (0.143, 0.000, 0.493), Tl at (0.154, 0.000, 0.837), Ge at (0.000, 0.000, 0.000), Ge at (0.109, 0.500, 0.247), Au at (0.000, 0.500, 0.000), Au at (0.035, 0.500, 0.634) and Au at (0.194, 0.000, 0.245).

=====

Entry 20:
An optimized crystal structure of La5Pr6Nd2. Source: Alexandria, functional PBE-GGA.

The value obtained for the raw total energy is -4.758 eV per atom. The formation energy comes out at 0.08 eV/atom.

The structure belongs to space group Pbam (No. 55); the cell edges are 12.086, 21.295 and 3.715 Å and the angles 90.00°, 90.00° and 90.00°. The distinct sites, in fractional coordinates, are La at (0.000, 0.000, 0.000), La at (0.081, 0.274, 0.000), La at (0.201, 0.551, 0.000), Pr at (0.059, 0.421, 0.500), Pr at (0.081, 0.132, 0.500), Pr at (0.179, 0.865, 0.000) and Nd at (0.173, 0.713, 0.500).